VASP calculation (GGA-PBEsol) on a relaxed MgWSeN2 crystal.

Results
* ΔE_f (raw): 1.70 eV per atom
* total magnetic moment: 0.086 μB/atom

Geometry as extended XYZ:
```
5
Lattice="-0.1069 3.8547 0.3059 -0.8304 -0.3218 3.7644 4.7386 0.0481 1.0494" Properties=species:S:1:pos:R:3 pbc="T T T"
Mg 0.0000 0.0000 0.0000
Se 2.3693 0.0240 0.5247
W 1.9007 1.7905 2.5598
N -0.4152 -0.1609 1.8822
N -0.0534 1.9273 0.1530
```